1.
This record from Alexandria via LeMat-Bulk describes crystalline PrCd4In at its relaxed geometry. The functional is PBE.

Lattice parameters (Å, degrees): 7.083 7.083 4.751 90.00 90.00 141.33
Fractional positions:
Pr1 0.000 0.000 0.000
Cd1 0.170 0.830 0.500
Cd2 0.321 0.679 0.000
Cd3 0.679 0.321 0.000
Cd4 0.830 0.170 0.500
In1 0.500 0.500 0.500

Computed properties:
**Relative energy among the computed polymorphs**: 0 meV per atom
**E_tot**: -2.107 eV per atom
**ΔE_f**: -0.244 eV/atom
**DOS(E_F)**: 3.1 states/eV/f.u.

***

2.
This record from Alexandria via LeMat-Bulk describes crystalline HgSb2As at its relaxed geometry. The functional is PBE.

Lattice parameters (Å, degrees): 5.292 6.788 7.420 96.64 97.76 106.71
Fractional positions:
Hg1 0.000 0.000 0.000
Hg2 0.013 0.519 0.010
Sb1 0.040 0.431 0.630
Sb2 0.484 0.152 0.605
Sb3 0.515 0.095 0.218
Sb4 0.580 0.535 0.198
As1 0.598 0.815 0.717
As2 0.909 0.759 0.512

Computed properties:
**Relative energy among the computed polymorphs**: 70 meV per atom
**Formation energy without anion corrections**: 0.101 eV per atom
**E_tot**: -3.198 eV per atom
**DOS(E_F)**: 0.8 states/eV/f.u.

***

3.
This record from Alexandria via LeMat-Bulk describes crystalline Sr3ScGe at its relaxed geometry. The functional is PBE.

Lattice parameters (Å, degrees): 6.176 6.176 6.176 90.00 90.00 90.00
Fractional positions:
Sr1 0.000 0.000 0.500
Sr2 0.000 0.500 0.000
Sr3 0.500 0.000 0.000
Sc1 0.000 0.000 0.000
Ge1 0.500 0.500 0.500

Computed properties:
**Relative energy among the computed polymorphs**: 674 meV per atom
**E_tot**: -2.367 eV per atom
**ΔE_f**: 0.832 eV/atom
**DOS(E_F)**: 2.6 states/eV/f.u.

***

4.
This record from Alexandria via LeMat-Bulk describes crystalline NiC2 at its relaxed geometry. The functional is PBE.

Lattice parameters (Å, degrees): 3.955 3.955 3.955 112.11 112.11 104.32
Fractional positions:
Ni1 0.250 0.250 0.000
Ni2 0.750 0.750 0.000
C1 0.113 0.613 0.726
C2 0.387 0.113 0.500
C3 0.613 0.887 0.500
C4 0.887 0.387 0.274

Computed properties:
**Relative energy among the computed polymorphs**: 1154 meV per atom
**E_tot**: -6.504 eV per atom
**ΔE_f**: 1.572 eV/atom
**DOS(E_F)**: 1.9 states/eV/f.u.

***

5.
This record from Alexandria via LeMat-Bulk describes crystalline Zr2BeAuC at its relaxed geometry. The functional is PBE.

Lattice parameters (Å, degrees): 6.308 3.443 7.683 90.00 107.92 90.00
Fractional positions:
Zr1 0.174 0.250 0.374
Zr2 0.207 0.250 0.973
Zr3 0.793 0.750 0.027
Zr4 0.826 0.750 0.626
Be1 0.445 0.750 0.251
Be2 0.555 0.250 0.749
Au1 0.311 0.750 0.696
Au2 0.689 0.250 0.304
C1 0.162 0.750 0.171
C2 0.838 0.250 0.829

Computed properties:
**Relative energy among the computed polymorphs**: 0 meV per atom
**E_tot**: -7.195 eV per atom
**ΔE_f**: -0.530 eV/atom
**DOS(E_F)**: 2.9 states/eV/f.u.

***

6.
This record from Alexandria via LeMat-Bulk describes crystalline Ta2SnBiSb at its relaxed geometry. The functional is PBE.

Lattice parameters (Å, degrees): 5.195 5.195 5.460 90.00 90.00 90.00
Fractional positions:
Ta1 0.000 0.500 0.000
Ta2 0.500 0.000 0.000
Sn1 0.000 0.000 0.000
Bi1 0.500 0.500 0.500
Sb1 0.000 0.000 0.500

Computed properties:
**Formation energy without anion corrections**: 1.666 eV per atom
**E_tot**: -5.476 eV per atom
**DOS(E_F)**: 5.1 states/eV/f.u.

***

Copy entry 6 word for word.
This record from Alexandria via LeMat-Bulk describes crystalline Ta2SnBiSb at its relaxed geometry. The functional is PBE.

Lattice parameters (Å, degrees): 5.195 5.195 5.460 90.00 90.00 90.00
Fractional positions:
Ta1 0.000 0.500 0.000
Ta2 0.500 0.000 0.000
Sn1 0.000 0.000 0.000
Bi1 0.500 0.500 0.500
Sb1 0.000 0.000 0.500

Computed properties:
**Formation energy without anion corrections**: 1.666 eV per atom
**E_tot**: -5.476 eV per atom
**DOS(E_F)**: 5.1 states/eV/f.u.